The following is a PBE calculation of a relaxed Zr2NiIr2 crystal, from Alexandria via LeMat-Bulk.

abc: 6.6773 6.6773 3.9765
angles: 90.00 90.00 90.00
Fractional coordinates of all 10 atoms:
Zr (0.3253, 0.1747, 0.5000)
Zr (0.6747, 0.8253, 0.5000)
Zr (0.8253, 0.3253, 0.5000)
Zr (0.1747, 0.6747, 0.5000)
Ir (0.6377, 0.1377, 0.0000)
Ir (0.3623, 0.8623, 0.0000)
Ir (0.1377, 0.3623, 0.0000)
Ir (0.8623, 0.6377, 0.0000)
Ni (0.0000, 0.0000, 0.0000)
Ni (0.5000, 0.5000, 0.0000)

Mass density: 11.72 g/cm3
Space group: P4/mbm
Total moment: 0.00 μB per cell
DFT formation energy: -0.51 eV per atom